1.
Density functional theory data (PBE) for an optimized crystal structure of TbHo2Tl2Hg2.

Structure (extended XYZ):
```
7
Lattice="-0.422 -1.515 4.730 -3.783 -2.956 1.342 3.499 -8.598 0.184" Properties=species:S:1:pos:R:3 pbc="T T T"
Hg 0.592 -7.904 2.773
Hg -1.297 -5.164 3.483
Tb 0.000 0.000 0.000
Tl -0.515 -2.775 1.691
Tl -0.189 -10.294 4.565
Ho 1.549 -5.770 0.916
Ho -2.254 -7.299 5.340
```

## Properties
**Symmetry**: R-3m, No. 166
**Mass density**: 11.35 Mg/m³
**ΔH_f (0 K)**: -0.18 eV/atom


2.
Density functional theory data (PBE) for an optimized crystal structure of Y3CoNi.

Structure (extended XYZ):
```
5
Lattice="5.087 0.000 0.000 0.000 5.087 0.000 0.000 0.000 5.087" Properties=species:S:1:pos:R:3 pbc="T T T"
Co 0.000 0.000 0.000
Y 2.543 0.000 0.000
Y 0.000 2.543 0.000
Y 0.000 0.000 2.543
Ni 2.543 2.543 2.543
```

## Properties
**Symmetry**: Pm-3m, No. 221
**Mass density**: 4.85 Mg/m³
**ΔH_f (0 K)**: 0.20 eV/atom


3.
Density functional theory data (PBE) for an optimized crystal structure of BaZrMo2S.

Structure (extended XYZ):
```
5
Lattice="-4.937 0.097 0.506 0.058 -5.110 1.542 0.513 1.432 4.725" Properties=species:S:1:pos:R:3 pbc="T T T"
S -2.183 -1.790 3.387
Zr 0.029 -2.555 0.771
Mo 0.256 0.716 2.362
Mo -2.468 0.049 0.253
Ba 0.000 0.000 0.000
```

## Properties
**Symmetry**: P4/mmm, No. 123
**ΔE_f (raw)**: 2.7395 eV per atom
**Mass density**: 5.71 Mg/m³